1.
Ho3ErRh PBE-GGA relaxed; ΔE_f = -0.300 eV/atom; D(E_F) = 11.86 states/eV/cell; symmetry = Pmn2_1; energy above the most stable polymorph in this dataset = 104 meV per atom
1.0
-2.4129 4.5918 -3.1862
-4.0475 1.2649 4.8880
5.0490 4.7076 2.9607
Ho Er Rh
6 2 2
Direct
0.9254 0.4878 0.9507
0.9253 0.4878 0.4508
0.4254 0.8650 0.9508
0.4189 0.3276 0.2009
0.9190 0.0252 0.7007
0.4253 0.8650 0.4507
0.4323 0.3274 0.7009
0.9322 0.0253 0.2007
0.6762 0.6775 0.2008
0.1763 0.6752 0.7008

***

2.
Ho4ErRh2 PBE-GGA relaxed; ΔE_f = -0.497 eV/atom; D(E_F) = 15.36 states/eV/cell; symmetry = P2_1/m; energy above the most stable polymorph in this dataset = 69 meV per atom
1.0
6.3124 0.0000 0.0000
0.0000 7.2225 -2.9718
0.0000 -0.0327 7.8115
Rh Ho Er
4 8 2
Direct
0.7500 0.3747 0.4112
0.2500 0.6253 0.5888
0.7500 0.7487 0.0117
0.2500 0.2513 0.9883
0.2500 0.2468 0.3349
0.0025 0.5882 0.2368
0.9975 0.4118 0.7632
0.7500 0.7532 0.6651
0.7500 0.0180 0.3830
0.5025 0.4118 0.7632
0.4975 0.5882 0.2368
0.2500 0.9820 0.6170
0.7500 0.1592 0.0279
0.2500 0.8408 0.9721

***

3.
Ho2ErRh PBE-GGA relaxed; ΔE_f = -0.545 eV/atom; D(E_F) = 18.25 states/eV/cell; symmetry = Pnma; energy above the most stable polymorph in this dataset = 0 meV per atom
1.0
6.2615 0.0000 0.0000
0.0000 7.1280 0.0000
0.0000 0.0000 9.3964
Ho Er Rh
8 4 4
Direct
0.8276 0.3217 0.5631
0.6724 0.8217 0.9369
0.1724 0.6783 0.4369
0.6724 0.8217 0.5631
0.1724 0.6783 0.0631
0.3276 0.1783 0.0631
0.8276 0.3217 0.9369
0.3276 0.1783 0.4369
0.3639 0.4650 0.7500
0.6361 0.5350 0.2500
0.1361 0.9650 0.7500
0.8639 0.0350 0.2500
0.0525 0.3835 0.2500
0.5525 0.1165 0.7500
0.4475 0.8835 0.2500
0.9475 0.6165 0.7500

***

4.
HoEr5Rh6 PBE-GGA relaxed; ΔE_f = -0.933 eV/atom; D(E_F) = 6.36 states/eV/cell; symmetry = P2/m
1.0
4.5430 -0.0272 1.5172
0.0367 6.8263 0.0122
0.0012 -0.0136 7.5857
Er Rh Ho
5 6 1
Direct
0.3332 0.0000 0.3337
0.3333 0.5000 0.3334
0.6667 0.5000 0.6666
0.0000 0.5000 0.0000
0.6668 0.0000 0.6663
0.5000 0.7493 0.0000
0.8331 0.2503 0.3339
0.5000 0.2507 0.0000
0.1669 0.2503 0.6661
0.8331 0.7497 0.3339
0.1669 0.7497 0.6661
0.0000 0.0000 0.0000

***

5.
HoErRh PBE-GGA relaxed; ΔE_f = -0.567 eV/atom; D(E_F) = 5.79 states/eV/cell; symmetry = I4/mmm; energy above the most stable polymorph in this dataset = 117 meV per atom
1.0
-3.9350 1.4284 -1.5988
-1.4885 -4.2253 -0.1079
0.2155 2.1010 7.6138
Ho Rh Er
2 2 2
Direct
0.3143 0.3143 0.1290
0.6857 0.6857 0.8710
0.8728 0.8728 0.2444
0.1272 0.1272 0.7556
0.5000 0.0000 0.5000
0.0000 0.5000 0.5000

***

6.
HoEr4Rh4 PBE-GGA relaxed; ΔE_f = -0.690 eV/atom; D(E_F) = 10.66 states/eV/cell; symmetry = P4_2/n
1.0
5.5767 0.0000 0.0000
0.0000 8.7299 0.0000
0.0000 0.0000 8.7299
Rh Er Ho
8 8 2
Direct
0.9038 0.7234 0.1240
0.9038 0.2766 0.8760
0.4038 0.3760 0.2234
0.4038 0.6240 0.7766
0.0962 0.8760 0.7234
0.0962 0.1240 0.2766
0.5962 0.7766 0.3760
0.5962 0.2234 0.6240
0.4059 0.6803 0.0872
0.4059 0.3197 0.9128
0.5941 0.9128 0.6803
0.0941 0.8197 0.4128
0.9059 0.5872 0.8197
0.0941 0.1803 0.5872
0.9059 0.4128 0.1803
0.5941 0.0872 0.3197
0.0000 0.0000 0.0000
0.5000 0.5000 0.5000